PrSbPb: optimized geometry, PBE.

The structure in CIF format:
```
data_PrSbPb
_cell_length_a 7.529
_cell_length_b 7.529
_cell_length_c 7.529
_cell_angle_alpha 90.00
_cell_angle_beta 90.00
_cell_angle_gamma 90.00
_space_group_name_H-M_alt 'F -4 3 m'
_space_group_IT_number 216
_space_group_name_Hall 'F -4 2 3'
loop_
_atom_site_label
_atom_site_fract_x
_atom_site_fract_y
_atom_site_fract_z
Pr1 0.000 0.000 0.000
Sb1 0.250 0.250 0.250
Pb1 0.250 0.250 0.750
```

HgH2O2: optimized geometry, PBE.

The structure in CIF format:
```
data_HgH2O2
_cell_length_a 5.298
_cell_length_b 5.767
_cell_length_c 3.492
_cell_angle_alpha 90.00
_cell_angle_beta 90.00
_cell_angle_gamma 90.00
_space_group_name_H-M_alt 'P n n m'
_space_group_IT_number 58
loop_
_space_group_symop_operation_xyz
'x,y,z'
'-x,-y,-z'
'-x,-y,z'
'x,y,-z'
'x+1/2,-y+1/2,-z+1/2'
'-x+1/2,y+1/2,z+1/2'
'-x+1/2,y+1/2,-z+1/2'
'x+1/2,-y+1/2,z+1/2'
loop_
_atom_site_label
_atom_site_fract_x
_atom_site_fract_y
_atom_site_fract_z
Hg1 0.000 0.000 0.000
H1 0.032 0.347 0.500
O1 0.123 0.745 0.500
```

CdIr2W: optimized geometry, PBE.

The structure in CIF format:
```
data_CdIr2W
_cell_length_a 6.361
_cell_length_b 6.361
_cell_length_c 6.361
_cell_angle_alpha 90.00
_cell_angle_beta 90.00
_cell_angle_gamma 90.00
_space_group_name_H-M_alt 'F -4 3 m'
_space_group_IT_number 216
_space_group_name_Hall 'F -4 2 3'
loop_
_atom_site_label
_atom_site_fract_x
_atom_site_fract_y
_atom_site_fract_z
Cd1 0.000 0.000 0.000
Ir1 0.000 0.000 0.500
Ir2 0.250 0.250 0.250
W1 0.250 0.250 0.750
```

Computed properties:
* E_form: 534 meV per atom

SrBOs: optimized geometry, PBE.

The structure in CIF format:
```
data_SrBOs
_cell_length_a 6.601
_cell_length_b 6.601
_cell_length_c 6.601
_cell_angle_alpha 90.00
_cell_angle_beta 90.00
_cell_angle_gamma 90.00
_space_group_name_H-M_alt 'F -4 3 m'
_space_group_IT_number 216
_space_group_name_Hall 'F -4 2 3'
loop_
_atom_site_label
_atom_site_fract_x
_atom_site_fract_y
_atom_site_fract_z
Sr1 0.000 0.000 0.000
B1 0.250 0.250 0.750
Os1 0.250 0.250 0.250
```

Computed properties:
* energy relative to the lowest polymorph listed for this composition: 1.4695 eV per atom

ReSiGe: optimized geometry, PBE.

The structure in CIF format:
```
data_ReSiGe
_cell_length_a 5.897
_cell_length_b 5.897
_cell_length_c 5.897
_cell_angle_alpha 90.00
_cell_angle_beta 90.00
_cell_angle_gamma 90.00
_space_group_name_H-M_alt 'F -4 3 m'
_space_group_IT_number 216
_space_group_name_Hall 'F -4 2 3'
loop_
_atom_site_label
_atom_site_fract_x
_atom_site_fract_y
_atom_site_fract_z
Re1 0.000 0.000 0.000
Si1 0.250 0.250 0.250
Ge1 0.250 0.250 0.750
```

Computed properties:
* energy relative to the lowest polymorph listed for this composition: 0.0000 eV per atom

BaFeCuTc: optimized geometry, PBE.

The structure in CIF format:
```
data_BaFeCuTc
_cell_length_a 6.760
_cell_length_b 6.760
_cell_length_c 6.760
_cell_angle_alpha 90.00
_cell_angle_beta 90.00
_cell_angle_gamma 90.00
_space_group_name_H-M_alt 'F -4 3 m'
_space_group_IT_number 216
_space_group_name_Hall 'F -4 2 3'
loop_
_atom_site_label
_atom_site_fract_x
_atom_site_fract_y
_atom_site_fract_z
Ba1 0.000 0.000 0.000
Fe1 0.250 0.250 0.750
Cu1 0.250 0.250 0.250
Tc1 0.000 0.000 0.500
```

Computed properties:
* energy relative to the lowest polymorph listed for this composition: 0.0000 eV per atom

Dy3Ni2Sn3Pt: optimized geometry, PBE.

The structure in CIF format:
```
data_Dy3Ni2Sn3Pt
_cell_length_a 7.3400
_cell_length_b 7.3400
_cell_length_c 4.0259
_cell_angle_alpha 90.00
_cell_angle_beta 90.00
_cell_angle_gamma 120.00
_space_group_name_H-M_alt 'P -6 2 m'
_space_group_IT_number 189
_space_group_name_Hall 'P -6 -2'
loop_
_atom_site_label
_atom_site_fract_x
_atom_site_fract_y
_atom_site_fract_z
Dy1 0.0000 0.4085 0.0000
Ni1 0.3333 0.6667 0.5000
Sn1 0.0000 0.7334 0.5000
Pt1 0.0000 0.0000 0.0000
```

no.,total DFT energy (no corrections) (eV/atom),mass density (g cm⁻³),calculated volume (A^3/atom)
1,-4.426,7.311,35.6
2,-4.009,7.303,10.7
3,-7.358,17.567,16.1
4,-3.908,6.665,24.0
5,-7.119,9.295,17.1
6,-5.053,7.625,19.3
7,-5.567,10.220,20.9